(1)
Here is a geometry-optimized HfSiPd structure from Alexandria via LeMat-Bulk. Energies are from PBE.

Unit cell a=9.6994 b=3.8324 c=6.5840 alpha=90.00 beta=126.49 gamma=90.00
Space group C2/m (No. 12)
Asymmetric unit:
Hf: 0.0695 0.0000 0.3167 x4
Si: 0.1453 0.5000 0.6749 x4
Pd: 0.1713 0.5000 0.0793 x4

Properties
Total magnetic moment (μB per atom): 0.00
E_form (uncorrected) (eV per atom): -0.87
VASP energy (eV/atom): -7.7279

(2)
Here is a geometry-optimized La2MnP2 structure from Alexandria via LeMat-Bulk. Energies are from PBE.

Unit cell a=7.5853 b=7.5853 c=4.0704 alpha=90.00 beta=90.00 gamma=90.00
Space group P4/mbm (No. 127)
Asymmetric unit:
La: 0.1528 0.3472 0.0000 x4
Mn: 0.0000 0.0000 0.5000 x2
P: 0.1607 0.6607 0.5000 x4

Properties
Formation energy (eV/atom): -0.90
Total magnetic moment (μB per atom): 0.95
VASP energy (eV/atom): -6.8700

(3)
Here is a geometry-optimized PaMnPd6 structure from Alexandria via LeMat-Bulk. Energies are from PBE.

Unit cell a=6.7641 b=7.6566 c=5.2217 alpha=90.00 beta=97.00 gamma=90.00
Space group C2/m (No. 12)
Asymmetric unit:
Pa: 0.0000 0.0000 0.0000 x2
Mn: 0.0000 0.0000 0.5000 x2
Pd: 0.1538 0.5000 0.2077 x4
Pd: 0.1738 0.3165 0.7124 x8

Properties
Formation energy (eV/atom): -0.28
Total magnetic moment (μB per atom): 0.40
VASP energy (eV/atom): -6.5127

(4)
Here is a geometry-optimized Be2InRh2 structure from Alexandria via LeMat-Bulk. Energies are from PBE.

Unit cell a=6.5974 b=6.5974 c=2.9100 alpha=90.00 beta=90.00 gamma=90.00
Space group P4/mbm (No. 127)
Asymmetric unit:
Be: 0.1194 0.3806 0.0000 x4
In: 0.0000 0.0000 0.0000 x2
Rh: 0.1669 0.6669 0.5000 x4

Properties
Formation energy (eV/atom): -0.48
Total magnetic moment (μB per atom): 0.00
VASP energy (eV/atom): -5.4631

(5)
Here is a geometry-optimized SrTaBr structure from Alexandria via LeMat-Bulk. Energies are from PBE.

Unit cell a=3.7023 b=3.7023 c=12.9765 alpha=90.00 beta=90.00 gamma=90.00
Space group P4/nmm (No. 129, origin choice 2)
Asymmetric unit:
Sr: 0.2500 0.2500 0.2327 x2
Ta: 0.2500 0.2500 0.9637 x2
Br: 0.2500 0.2500 0.6375 x2

Properties
Total magnetic moment (μB per atom): 0.00
E_form (uncorrected) (eV per atom): -0.57
VASP energy (eV/atom): -5.6434

(6)
Here is a geometry-optimized Sr2ZrZn structure from Alexandria via LeMat-Bulk. Energies are from PBE.

Unit cell a=3.6036 b=3.6036 c=9.5511 alpha=90.00 beta=90.00 gamma=90.00
Space group P4/mmm (No. 123)
Asymmetric unit:
Sr: 0.0000 0.0000 0.2252 x2
Zr: 0.5000 0.5000 0.5000 x1
Zn: 0.5000 0.5000 0.0000 x1

Properties
Formation energy (eV/atom): 0.29
Total magnetic moment (μB per atom): 0.00
VASP energy (eV/atom): -3.0087

(7)
Here is a geometry-optimized K2NaYHf structure from Alexandria via LeMat-Bulk. Energies are from PBE.

Unit cell a=5.5495 b=5.5495 c=6.5601 alpha=90.00 beta=90.00 gamma=90.00
Space group P4/mmm (No. 123)
Asymmetric unit:
K: 0.0000 0.5000 0.0000 x2
Na: 0.0000 0.0000 0.0000 x1
Y: 0.0000 0.0000 0.5000 x1
Hf: 0.5000 0.5000 0.5000 x1

Properties
Formation energy (eV/atom): 1.31
Total magnetic moment (μB per atom): 0.67
VASP energy (eV/atom): -2.6781

(8)
Here is a geometry-optimized Be2TlCl structure from Alexandria via LeMat-Bulk. Energies are from PBE.

Unit cell a=3.0593 b=6.6358 c=7.5340 alpha=90.00 beta=90.00 gamma=90.00
Space group Immm (No. 71)
Asymmetric unit:
Be: 0.0000 0.0000 0.2298 x4
Tl: 0.0000 0.5000 0.0000 x2
Cl: 0.0000 0.5000 0.5000 x2

Properties
Total magnetic moment (μB per atom): 0.00
E_form (uncorrected) (eV per atom): 0.59
VASP energy (eV/atom): -2.3285

(9)
Here is a geometry-optimized TiBeHg structure from Alexandria via LeMat-Bulk. Energies are from PBE.

Unit cell a=3.5114 b=15.5755 c=3.4422 alpha=90.00 beta=90.00 gamma=90.00
Space group Cmcm (No. 63)
Asymmetric unit:
Ti: 0.0000 0.0769 0.2500 x4
Be: 0.0000 0.4641 0.2500 x4
Hg: 0.0000 0.3073 0.2500 x4

Properties
Formation energy (eV/atom): -0.09
Total magnetic moment (μB per atom): 0.00
VASP energy (eV/atom): -4.0668

(10)
Here is a geometry-optimized Ce2BiO structure from Alexandria via LeMat-Bulk. Energies are from PBE.

Unit cell a=3.8526 b=3.8526 c=21.7397 alpha=90.00 beta=90.00 gamma=120.00
Space group R-3m (No. 166, hexagonal axes)
Asymmetric unit:
Ce: 0.0000 0.0000 0.2254 x6
Bi: 0.0000 0.0000 0.0000 x3
O: 0.0000 0.0000 0.5000 x3

Properties
Total magnetic moment (μB per atom): 0.32
E_form (uncorrected) (eV per atom): -1.60
VASP energy (eV/atom): -6.7773

(11)
Here is a geometry-optimized RbCd2SbAs structure from Alexandria via LeMat-Bulk. Energies are from PBE.

Unit cell a=8.5841 b=4.4644 c=9.0697 alpha=90.00 beta=105.37 gamma=90.00
Space group P2_1/m (No. 11)
Asymmetric unit:
Rb: 0.0558 0.2500 0.2887 x2
Cd: 0.4848 0.7500 0.8654 x2
Cd: 0.4907 0.2500 0.6190 x2
Sb: 0.2773 0.7500 0.0723 x2
As: 0.2929 0.7500 0.5682 x2

Properties
Total magnetic moment (μB per atom): 0.00
E_form (uncorrected) (eV per atom): -0.22
VASP energy (eV/atom): -2.5327

(12)
Here is a geometry-optimized KSrMg2 structure from Alexandria via LeMat-Bulk. Energies are from PBE.

Unit cell a=4.1018 b=5.5653 c=7.3669 alpha=90.00 beta=106.06 gamma=90.00
Space group Pm (No. 6)
Asymmetric unit:
K: 0.0000 0.0000 0.0000 x1
Sr: 0.3157 0.5000 0.6288 x1
Mg: 0.6071 0.5000 0.2132 x1
Mg: 0.7281 0.0000 0.4513 x1

Properties
Formation energy (eV/atom): 0.12
Total magnetic moment (μB per atom): 0.00
VASP energy (eV/atom): -1.3685

- Which formula does entry 3 have?
  PaMnPd6